# CaPrGa | the Alexandria database | PBE-GGA | relaxed
data_CaPrGa
_space_group_name_H-M_alt 'F -4 3 m'
_space_group_IT_number 216
_space_group_name_Hall 'F -4 2 3'
_cell_length_a 7.308
_cell_length_b 7.308
_cell_length_c 7.308
_cell_angle_alpha 90.00
_cell_angle_beta 90.00
_cell_angle_gamma 90.00
loop_
_atom_site_label
_atom_site_type_symbol
_atom_site_fract_x
_atom_site_fract_y
_atom_site_fract_z
Ca1 Ca 0.000 0.000 0.000
Pr1 Pr 0.000 0.000 0.500
Ga1 Ga 0.250 0.250 0.750
# * DFT formation energy: -266 meV per atom
# * polymorph energy (0 for the lowest one): 164 meV per atom

# HoZrZnOs | the Alexandria database | PBE-GGA | relaxed
data_HoZrZnOs
_space_group_name_H-M_alt 'F -4 3 m'
_space_group_IT_number 216
_space_group_name_Hall 'F -4 2 3'
_cell_length_a 6.771
_cell_length_b 6.771
_cell_length_c 6.771
_cell_angle_alpha 90.00
_cell_angle_beta 90.00
_cell_angle_gamma 90.00
loop_
_atom_site_label
_atom_site_type_symbol
_atom_site_fract_x
_atom_site_fract_y
_atom_site_fract_z
Ho1 Ho 0.000 0.000 0.000
Zr1 Zr 0.000 0.000 0.500
Zn1 Zn 0.250 0.250 0.750
Os1 Os 0.250 0.250 0.250
# * DFT formation energy: -305 meV per atom

# NaSrMn3 | the Alexandria database | PBE-GGA | relaxed
data_NaSrMn3
_space_group_name_H-M_alt 'P m -3 m'
_space_group_IT_number 221
_space_group_name_Hall '-P 4 2 3'
_cell_length_a 5.147
_cell_length_b 5.147
_cell_length_c 5.147
_cell_angle_alpha 90.00
_cell_angle_beta 90.00
_cell_angle_gamma 90.00
loop_
_atom_site_label
_atom_site_type_symbol
_atom_site_fract_x
_atom_site_fract_y
_atom_site_fract_z
Na1 Na 0.000 0.000 0.000
Sr1 Sr 0.500 0.500 0.500
Mn1 Mn 0.000 0.000 0.500
# * DFT formation energy: 1279 meV per atom
# * polymorph energy (0 for the lowest one): 0 meV per atom

# TaCu2As | the Alexandria database | PBE-GGA | relaxed
data_TaCu2As
_space_group_name_H-M_alt 'P 1 m 1'
_space_group_IT_number 6
_space_group_name_Hall 'P -2y'
_cell_length_a 3.287
_cell_length_b 3.473
_cell_length_c 5.628
_cell_angle_alpha 90.00
_cell_angle_beta 106.89
_cell_angle_gamma 90.00
loop_
_atom_site_label
_atom_site_type_symbol
_atom_site_fract_x
_atom_site_fract_y
_atom_site_fract_z
Ta1 Ta 0.000 0.000 0.000
Cu1 Cu 0.346 0.500 0.694
Cu2 Cu 0.756 0.000 0.512
As1 As 0.593 0.500 0.187
# * DFT formation energy: 16 meV per atom

# Na3ZrI | the Alexandria database | PBE-GGA | relaxed
data_Na3ZrI
_space_group_name_H-M_alt 'P m -3 m'
_space_group_IT_number 221
_space_group_name_Hall '-P 4 2 3'
_cell_length_a 6.319
_cell_length_b 6.319
_cell_length_c 6.319
_cell_angle_alpha 90.00
_cell_angle_beta 90.00
_cell_angle_gamma 90.00
loop_
_atom_site_label
_atom_site_type_symbol
_atom_site_fract_x
_atom_site_fract_y
_atom_site_fract_z
Na1 Na 0.000 0.000 0.500
Zr1 Zr 0.000 0.000 0.000
I1 I 0.500 0.500 0.500
# * polymorph energy (0 for the lowest one): 298 meV per atom
# * raw formation energy: 0.82 eV/atom

# PmErMg6 | the Alexandria database | PBE-GGA | relaxed
data_PmErMg6
_space_group_name_H-M_alt 'A m m 2'
_space_group_IT_number 38
_space_group_name_Hall 'A 2 -2'
_cell_length_a 5.202
_cell_length_b 6.719
_cell_length_c 11.620
_cell_angle_alpha 90.00
_cell_angle_beta 90.00
_cell_angle_gamma 90.00
loop_
_atom_site_label
_atom_site_type_symbol
_atom_site_fract_x
_atom_site_fract_y
_atom_site_fract_z
Pm1 Pm 0.000 0.000 0.000
Er1 Er 0.500 0.000 0.332
Mg1 Mg 0.000 0.000 0.502
Mg2 Mg 0.000 0.246 0.749
Mg3 Mg 0.500 0.000 0.828
Mg4 Mg 0.500 0.242 0.585
# * DFT formation energy: -72 meV per atom